VASP calculation (PBE-GGA) on a relaxed LiAc2As4Rh3 crystal.

- uncorrected energy (eV/atom) = -6.022

Geometry as POSCAR:
```
LiAc2As4Rh3
1.0
4.468 0.000 0.000
0.000 4.468 0.000
0.000 0.000 10.009
Li Ac As Rh
1 2 4 3
Direct
0.500 0.500 0.500
0.500 0.000 0.249
0.000 0.500 0.751
0.500 0.500 0.000
0.000 0.000 0.000
0.500 0.000 0.632
0.000 0.500 0.368
0.000 0.000 0.500
0.500 0.000 0.886
0.000 0.500 0.114
```